Record 1
5
Lattice="4.7632 0.0000 0.0000 0.0000 4.7632 0.0000 0.0000 0.0000 4.7632" Properties=species:S:1:pos:R:3 comment="Mo3PAu GGA-PBEsol relaxed" crystal_system=cubic formation_energy_ev_per_atom=2.50 total_magnetization_mub_per_cell=0.00 pbc="T T T"
Mo 0.0000 0.0000 2.3816
Mo 0.0000 2.3816 0.0000
Mo 2.3816 0.0000 0.0000
P 2.3816 2.3816 2.3816
Au 0.0000 0.0000 0.0000

Record 2
4
Lattice="-2.1828 2.1828 4.3260 2.1828 -2.1828 4.3260 2.1828 2.1828 -4.3260" Properties=species:S:1:pos:R:3 comment="MoPb2Au GGA-PBEsol relaxed" crystal_system=tetragonal formation_energy_ev_per_atom=0.61 polymorph_energy_mev_per_atom=29 total_magnetization_mub_per_cell=0.81 pbc="T T T"
Mo 0.0000 0.0000 0.0000
Pb 2.1828 0.0000 2.1630
Pb 0.0000 2.1828 2.1630
Au 0.0000 0.0000 4.3260

Record 3
4
Lattice="-2.0637 2.0637 4.8464 2.0637 -2.0637 4.8464 2.0637 2.0637 -4.8464" Properties=species:S:1:pos:R:3 comment="MoPb2Au GGA-PBEsol relaxed" crystal_system=tetragonal formation_energy_ev_per_atom=0.59 polymorph_energy_mev_per_atom=0 total_magnetization_mub_per_cell=1.22 pbc="T T T"
Mo 0.0000 0.0000 0.0000
Pb 0.0000 0.0000 4.8464
Pb 0.0000 2.0637 2.4232
Au 2.0637 0.0000 2.4232